Material: Li2PuSO6
Method: DFT, PBE
State: optimized geometry

Cell lengths 4.2156, 5.7344, 5.7344 Å; angles 90.00, 90.00, 90.00 degrees
Closest atoms and distances in Å follow each position.
Element x y z (fractional)
1 Li 0.8397 0.5000 0.0000  4 O 2.08
2 Li 0.8397 0.0000 0.5000  4 O 2.08
3 Pu 0.7008 0.5000 0.5000  6 O 2.05-2.13
4 S 0.6493 0.0000 0.0000  1 O 1.44
5 O 0.7256 0.2470 0.2470  1 S 2.03, 1 Pu 2.05, 2 Li 2.08
6 O 0.7256 0.2470 0.7530  1 S 2.03, 1 Pu 2.05, 2 Li 2.08
7 O 0.2069 0.5000 0.5000  2 Pu 2.08-2.13
8 O 0.3080 0.0000 0.0000  1 S 1.44
9 O 0.7256 0.7530 0.7530  1 S 2.03, 1 Pu 2.05, 2 Li 2.08
10 O 0.7256 0.7530 0.2470  1 S 2.03, 1 Pu 2.05, 2 Li 2.08

Results
raw total energy = -0.5098 Ry/atom

Material: BaLaInAg
Method: DFT, PBE
State: optimized geometry

Cell lengths 5.7164, 5.7164, 5.7164 Å; angles 60.00, 60.00, 60.00 degrees
Closest atoms and distances in Å follow each position.
Element x y z (fractional)
1 In 0.7500 0.7500 0.7500  4 Ba 3.50, 4 La 3.50
2 Ba 0.0000 0.0000 0.0000  4 In 3.50, 4 Ag 3.50
3 Ag 0.2500 0.2500 0.2500  4 Ba 3.50, 4 La 3.50
4 La 0.5000 0.5000 0.5000  4 Ag 3.50, 4 In 3.50

Results
raw total energy = -0.2488 Ry/atom

Material: Ga3FeNi12
Method: DFT, PBE
State: optimized geometry

Cell lengths 3.5739, 3.5739, 14.2617 Å; angles 90.00, 90.00, 90.00 degrees
Closest atoms and distances in Å follow each position.
Element x y z (fractional)
1 Ga 0.0000 0.0000 0.2492  12 Ni 2.52-2.55
2 Ga 0.0000 0.0000 0.5000  12 Ni 2.53
3 Ga 0.0000 0.0000 0.7508  12 Ni 2.52-2.55
4 Fe 0.0000 0.0000 0.0000  12 Ni 2.49-2.53
5 Ni 0.5000 0.5000 0.0000  8 Ni 2.49, 4 Fe 2.53
6 Ni 0.5000 0.5000 0.2482  4 Ga 2.53, 8 Ni 2.53-2.54
7 Ni 0.5000 0.5000 0.5000  4 Ga 2.53, 8 Ni 2.53
8 Ni 0.5000 0.5000 0.7518  4 Ga 2.53, 8 Ni 2.53-2.54
9 Ni 0.5000 0.0000 0.1214  8 Ni 2.49-2.54, 2 Fe 2.49, 2 Ga 2.55
10 Ni 0.5000 0.0000 0.3741  4 Ga 2.52-2.53, 8 Ni 2.53
11 Ni 0.5000 0.0000 0.6259  4 Ga 2.52-2.53, 8 Ni 2.53
12 Ni 0.5000 0.0000 0.8786  2 Fe 2.49, 8 Ni 2.49-2.54, 2 Ga 2.55
13 Ni 0.0000 0.5000 0.1214  8 Ni 2.49-2.54, 2 Fe 2.49, 2 Ga 2.55
14 Ni 0.0000 0.5000 0.3741  4 Ga 2.52-2.53, 8 Ni 2.53
15 Ni 0.0000 0.5000 0.6259  4 Ga 2.52-2.53, 8 Ni 2.53
16 Ni 0.0000 0.5000 0.8786  2 Fe 2.49, 8 Ni 2.49-2.54, 2 Ga 2.55

Results
raw total energy = -0.4169 Ry/atom

> The lowest raw total energy belongs to which entry?

Li2PuSO6

> raw total energy of number 3 (Ga3FeNi12)?

-0.4169 Ry/atom